Here is AgTe2Pt after structural relaxation from the Alexandria database. Energies are from PBEsol.

ΔE_f (raw) in meV per atom: 22.4
Crystal system: tetragonal
Space group: P4mm, No. 99
VASP energy in eV per atom: -4.3094
M_tot in μB per cell: 0.00

Cell: 3.4714 3.4714 7.4509 Å, 90.00 90.00 90.00°
Sites, in units of the cell vectors:
Te (0.5000, 0.5000, 0.3134)
Te (0.0000, 0.0000, 0.9058)
Pt (0.5000, 0.5000, 0.7495)
Ag (0.0000, 0.0000, 0.5313)